[1]
Entry from Alexandria: crystalline KSi2P at its relaxed geometry (PBE-GGA).

uncorrected energy: -4.22 eV/atom
formation energy without anion corrections: 0.12 eV per atom
space-group type: No. 44
excess energy over the best structure of this formula in the dataset: 24 meV/atom
volume: 95.3 Å³/cell
crystal system: orthorhombic

The structure in CIF format:
```
data_KSi2P
_space_group_name_H-M_alt 'P 1'
_space_group_IT_number 1
_space_group_name_Hall 'P 1'
_cell_length_a 7.108
_cell_length_b 7.108
_cell_length_c 7.108
_cell_angle_alpha 150.19
_cell_angle_beta 147.62
_cell_angle_gamma 44.58
loop_
_atom_site_label
_atom_site_fract_x
_atom_site_fract_y
_atom_site_fract_z
P1 0.223 0.723 0.500
Si1 0.106 0.106 0.000
Si2 0.726 0.226 0.500
K1 0.445 0.445 0.000
```

[2]
Entry from Alexandria: crystalline AlSn2Pb at its relaxed geometry (PBE-GGA).

calculated formation energy: 115.0 meV/atom
uncorrected energy: -3.75 eV/atom
space-group type: No. 123
excess energy over the best structure of this formula in the dataset: 0 meV/atom
volume: 104.5 Å³/cell
crystal system: tetragonal

The structure in CIF format:
```
data_AlSn2Pb
_space_group_name_H-M_alt 'P 1'
_space_group_IT_number 1
_space_group_name_Hall 'P 1'
_cell_length_a 3.592
_cell_length_b 3.592
_cell_length_c 8.097
_cell_angle_alpha 90.00
_cell_angle_beta 90.00
_cell_angle_gamma 90.00
loop_
_atom_site_label
_atom_site_fract_x
_atom_site_fract_y
_atom_site_fract_z
Sn1 0.000 0.000 0.208
Sn2 0.000 0.000 0.792
Pb1 0.500 0.500 0.500
Al1 0.500 0.500 0.000
```

[3]
Entry from Alexandria: crystalline TbTm12In6 at its relaxed geometry (PBE-GGA).

calculated formation energy: -187.1 meV/atom
uncorrected energy: -4.12 eV/atom
space-group type: No. 148
volume: 531.5 Å³/cell
crystal system: trigonal

The structure in CIF format:
```
data_TbTm12In6
_space_group_name_H-M_alt 'P 1'
_space_group_IT_number 1
_space_group_name_Hall 'P 1'
_cell_length_a 8.102
_cell_length_b 8.102
_cell_length_c 8.102
_cell_angle_alpha 88.74
_cell_angle_beta 88.74
_cell_angle_gamma 88.74
loop_
_atom_site_label
_atom_site_fract_x
_atom_site_fract_y
_atom_site_fract_z
Tm1 0.373 0.035 0.156
Tm2 0.561 0.199 0.471
Tm3 0.627 0.965 0.844
Tm4 0.439 0.801 0.529
In1 0.879 0.265 0.719
Tm5 0.035 0.156 0.373
In2 0.719 0.879 0.265
Tm6 0.471 0.561 0.199
Tm7 0.801 0.529 0.439
Tm8 0.199 0.471 0.561
In3 0.265 0.719 0.879
In4 0.735 0.281 0.121
In5 0.281 0.121 0.735
Tm9 0.844 0.627 0.965
Tm10 0.156 0.373 0.035
Tm11 0.965 0.844 0.627
Tb1 0.000 0.000 0.000
In6 0.121 0.735 0.281
Tm12 0.529 0.439 0.801
```

[4]
Entry from Alexandria: crystalline TlVMo2Se at its relaxed geometry (PBE-GGA).

uncorrected energy: -6.04 eV/atom
formation energy without anion corrections: 1.29 eV per atom
space-group type: No. 123
volume: 109.6 Å³/cell
crystal system: tetragonal

The structure in CIF format:
```
data_TlVMo2Se
_space_group_name_H-M_alt 'P 1'
_space_group_IT_number 1
_space_group_name_Hall 'P 1'
_cell_length_a 4.619
_cell_length_b 5.135
_cell_length_c 4.619
_cell_angle_alpha 90.00
_cell_angle_beta 90.00
_cell_angle_gamma 90.00
loop_
_atom_site_label
_atom_site_fract_x
_atom_site_fract_y
_atom_site_fract_z
V1 0.000 0.000 0.000
Tl1 0.000 0.500 0.000
Mo1 0.000 0.000 0.500
Mo2 0.500 0.000 0.000
Se1 0.500 0.500 0.500
```

[5]
Entry from Alexandria: crystalline SmGa2Hg at its relaxed geometry (PBE-GGA).

calculated formation energy: -297.7 meV/atom
uncorrected energy: -3.07 eV/atom
space-group type: No. 65
excess energy over the best structure of this formula in the dataset: 139 meV/atom
volume: 89.8 Å³/cell
crystal system: orthorhombic

The structure in CIF format:
```
data_SmGa2Hg
_space_group_name_H-M_alt 'P 1'
_space_group_IT_number 1
_space_group_name_Hall 'P 1'
_cell_length_a 3.121
_cell_length_b 5.720
_cell_length_c 5.720
_cell_angle_alpha 118.37
_cell_angle_beta 90.00
_cell_angle_gamma 90.00
loop_
_atom_site_label
_atom_site_fract_x
_atom_site_fract_y
_atom_site_fract_z
Ga1 0.500 0.054 0.446
Ga2 0.500 0.554 0.946
Sm1 0.000 0.054 0.946
Hg1 0.500 0.554 0.446
```

[6]
Entry from Alexandria: crystalline FeCu2Ir at its relaxed geometry (PBE-GGA).

calculated formation energy: 117.1 meV/atom
uncorrected energy: -6.26 eV/atom
space-group type: No. 216
excess energy over the best structure of this formula in the dataset: 48 meV/atom
volume: 51.6 Å³/cell
crystal system: cubic

The structure in CIF format:
```
data_FeCu2Ir
_space_group_name_H-M_alt 'P 1'
_space_group_IT_number 1
_space_group_name_Hall 'P 1'
_cell_length_a 4.180
_cell_length_b 4.180
_cell_length_c 4.180
_cell_angle_alpha 60.00
_cell_angle_beta 60.00
_cell_angle_gamma 60.00
loop_
_atom_site_label
_atom_site_fract_x
_atom_site_fract_y
_atom_site_fract_z
Ir1 0.250 0.250 0.250
Cu1 0.750 0.750 0.750
Fe1 0.500 0.500 0.500
Cu2 0.000 0.000 0.000
```

[7]
Entry from Alexandria: crystalline Li2YTaAu at its relaxed geometry (PBE-GGA).

calculated formation energy: 653.1 meV/atom
uncorrected energy: -4.43 eV/atom
space-group type: No. 123
volume: 120.4 Å³/cell
crystal system: tetragonal

The structure in CIF format:
```
data_Li2YTaAu
_space_group_name_H-M_alt 'P 1'
_space_group_IT_number 1
_space_group_name_Hall 'P 1'
_cell_length_a 4.649
_cell_length_b 5.571
_cell_length_c 4.649
_cell_angle_alpha 90.00
_cell_angle_beta 90.00
_cell_angle_gamma 90.00
loop_
_atom_site_label
_atom_site_fract_x
_atom_site_fract_y
_atom_site_fract_z
Li1 0.500 0.000 0.000
Au1 0.000 0.000 0.000
Ta1 0.500 0.500 0.500
Y1 0.000 0.500 0.000
Li2 0.000 0.000 0.500
```

[8]
Entry from Alexandria: crystalline TmGa4Pb at its relaxed geometry (PBE-GGA).

calculated formation energy: -193.1 meV/atom
uncorrected energy: -3.57 eV/atom
space-group type: No. 216
volume: 125.1 Å³/cell
crystal system: cubic

The structure in CIF format:
```
data_TmGa4Pb
_space_group_name_H-M_alt 'P 1'
_space_group_IT_number 1
_space_group_name_Hall 'P 1'
_cell_length_a 5.615
_cell_length_b 5.615
_cell_length_c 5.615
_cell_angle_alpha 60.00
_cell_angle_beta 60.00
_cell_angle_gamma 60.00
loop_
_atom_site_label
_atom_site_fract_x
_atom_site_fract_y
_atom_site_fract_z
Ga1 0.625 0.124 0.625
Ga2 0.625 0.625 0.625
Ga3 0.625 0.625 0.124
Pb1 0.250 0.250 0.250
Tm1 0.000 0.000 0.000
Ga4 0.124 0.625 0.625
```